Computed, not measured: a crystal of HfMg3Se relaxed with PBEsol at the meta-GGA SCAN level of DFT.

```
HfMg3Se
1.0
4.966 0.000 0.000
0.000 4.966 0.000
0.000 0.000 4.966
Hf Mg Se
1 3 1
direct
0.000 0.000 0.000
0.000 0.500 0.500
0.500 0.000 0.500
0.500 0.500 0.000
0.500 0.500 0.500
```

Formation energy from raw total energies (eV per atom): 0.403
Mass density (g/cm3): 4.48
Crystal system: cubic
Total DFT energy (no corrections) (eV per atom): -19.1314
SG: Pm-3m

=====

Computed, not measured: a crystal of CrInTe2I relaxed with PBEsol at the meta-GGA SCAN level of DFT.

```
CrInTe2I
1.0
5.151 0.000 0.000
0.000 5.151 0.000
0.000 0.000 5.679
Cr In Te I
1 1 2 1
direct
0.000 0.000 0.000
0.500 0.500 0.500
0.000 0.500 0.000
0.500 0.000 0.000
0.000 0.000 0.500
```

Formation energy from raw total energies (eV per atom): -0.040
Mass density (g/cm3): 6.05
Crystal system: tetragonal
Total DFT energy (no corrections) (eV per atom): -32.6426
SG: P4/mmm

=====

Computed, not measured: a crystal of CrTc5 relaxed with PBEsol at the meta-GGA SCAN level of DFT.

```
CrTc5
1.0
4.920 -1.353 0.000
4.920 1.353 0.000
-1.614 0.000 6.121
Cr Tc
1 5
direct
0.000 0.000 0.000
0.056 0.056 0.609
0.339 0.339 0.672
0.392 0.392 0.268
0.665 0.665 0.326
0.718 0.718 0.942
```

Mass density (g/cm3): 11.05
Crystal system: monoclinic
Formation energy (eV per atom): 0.107
Total DFT energy (no corrections) (eV per atom): -32.1739
SG: Cm

=====

Computed, not measured: a crystal of Rb2Te2S relaxed with PBEsol at the meta-GGA SCAN level of DFT.

```
Rb2Te2S
1.0
7.874 0.000 0.000
0.000 7.874 0.000
0.000 0.000 5.463
Rb Te S
4 4 2
direct
0.179 0.321 0.000
0.321 0.821 0.000
0.679 0.179 0.000
0.821 0.679 0.000
0.127 0.627 0.500
0.373 0.127 0.500
0.627 0.873 0.500
0.873 0.373 0.500
0.000 0.000 0.500
0.500 0.500 0.500
```

Formation energy from raw total energies (eV per atom): -0.609
Mass density (g/cm3): 4.49
Crystal system: tetragonal
Total DFT energy (no corrections) (eV per atom): -25.7312
SG: P4/mbm

=====

Computed, not measured: a crystal of ReWCl3 relaxed with PBEsol at the meta-GGA SCAN level of DFT.

```
ReWCl3
1.0
4.767 0.000 0.000
0.000 4.767 0.000
0.000 0.000 4.767
Re W Cl
1 1 3
direct
0.000 0.000 0.000
0.500 0.500 0.500
0.000 0.500 0.500
0.500 0.000 0.500
0.500 0.500 0.000
```

Formation energy from raw total energies (eV per atom): 1.292
Mass density (g/cm3): 7.30
Crystal system: cubic
Total DFT energy (no corrections) (eV per atom): -31.6518
SG: Pm-3m

=====

Computed, not measured: a crystal of LaZnAs2Se relaxed with PBEsol at the meta-GGA SCAN level of DFT.

```
LaZnAs2Se
1.0
5.633 0.000 0.000
0.000 5.633 0.000
0.000 0.000 5.574
La Zn As Se
1 1 2 1
direct
0.000 0.000 0.000
0.500 0.500 0.500
0.000 0.500 0.000
0.500 0.000 0.000
0.000 0.000 0.500
```

Formation energy from raw total energies (eV per atom): 0.491
Mass density (g/cm3): 4.07
Crystal system: tetragonal
Total DFT energy (no corrections) (eV per atom): -22.9250
SG: P4/mmm

=====

Computed, not measured: a crystal of FeCoBr2 relaxed with PBEsol at the meta-GGA SCAN level of DFT.

```
FeCoBr2
1.0
3.389 0.000 0.000
0.000 3.790 0.000
-0.437 0.000 5.691
Fe Co Br
1 1 2
direct
0.000 0.000 0.000
0.500 0.000 0.500
0.250 0.500 0.254
0.750 0.500 0.746
```

Formation energy from raw total energies (eV per atom): 0.337
Mass density (g/cm3): 6.24
Crystal system: monoclinic
Total DFT energy (no corrections) (eV per atom): -18.2515
SG: P2/m

=====

Computed, not measured: a crystal of Fe2Co relaxed with PBEsol at the meta-GGA SCAN level of DFT.

```
Fe2Co
1.0
2.796 0.000 0.000
0.000 2.796 0.000
0.000 0.000 8.408
Fe Co
4 2
direct
0.000 0.000 0.000
0.000 0.000 0.333
0.000 0.000 0.667
0.500 0.500 0.500
0.500 0.500 0.166
0.500 0.500 0.834
```

Mass density (g/cm3): 8.62
Crystal system: tetragonal
Formation energy (eV per atom): -0.178
Total DFT energy (no corrections) (eV per atom): -18.0325
SG: P4/mmm

=====

Computed, not measured: a crystal of CaOs2 relaxed with PBEsol at the meta-GGA SCAN level of DFT.

```
CaOs2
1.0
4.564 0.000 0.000
-2.282 3.952 0.000
0.000 0.000 2.805
Ca Os
1 2
direct
0.000 0.000 0.000
0.333 0.667 0.500
0.667 0.333 0.500
```

Mass density (g/cm3): 13.80
Crystal system: hexagonal
Formation energy (eV per atom): 0.696
Total DFT energy (no corrections) (eV per atom): -50.4447
SG: P6/mmm

=====

Computed, not measured: a crystal of NbCd2Au relaxed with PBEsol at the meta-GGA SCAN level of DFT.

```
NbCd2Au
1.0
0.000 3.317 3.317
3.317 0.000 3.317
3.317 3.317 0.000
Nb Cd Au
1 2 1
direct
0.000 0.000 0.000
0.250 0.250 0.250
0.750 0.750 0.750
0.500 0.500 0.500
```

Mass density (g/cm3): 11.71
Crystal system: cubic
Formation energy (eV per atom): 0.196
Total DFT energy (no corrections) (eV per atom): -40.5829
SG: Fm-3m

=====

Computed, not measured: a crystal of MgFe2Co relaxed with PBEsol at the meta-GGA SCAN level of DFT.

```
MgFe2Co
1.0
3.630 0.000 0.000
0.000 3.630 0.000
0.000 0.000 3.733
Mg Fe Co
1 2 1
direct
0.000 0.000 0.000
0.000 0.500 0.500
0.500 0.000 0.500
0.500 0.500 0.000
```

Mass density (g/cm3): 6.58
Crystal system: tetragonal
Formation energy (eV per atom): 0.129
Total DFT energy (no corrections) (eV per atom): -14.5055
SG: P4/mmm

=====

Computed, not measured: a crystal of CrNiBr2 relaxed with PBEsol at the meta-GGA SCAN level of DFT.

```
CrNiBr2
1.0
1.852 1.069 6.819
-1.852 1.069 6.819
0.000 -2.139 6.819
Cr Ni Br
1 1 2
direct
0.000 0.000 0.000
0.269 0.269 0.269
0.556 0.556 0.556
0.734 0.734 0.734
```

Formation energy from raw total energies (eV per atom): -0.290
Mass density (g/cm3): 5.54
Crystal system: trigonal
Total DFT energy (no corrections) (eV per atom): -18.6589
SG: R3m

=====

Computed, not measured: a crystal of TeRhWBr2 relaxed with PBEsol at the meta-GGA SCAN level of DFT.

```
TeRhWBr2
1.0
4.844 0.000 0.000
0.000 4.844 0.000
0.000 0.000 5.046
Te Rh W Br
1 1 1 2
direct
0.000 0.000 0.000
0.500 0.500 0.500
0.500 0.500 0.000
0.000 0.500 0.500
0.500 0.000 0.500
```

Formation energy from raw total energies (eV per atom): 1.058
Mass density (g/cm3): 8.05
Crystal system: tetragonal
Total DFT energy (no corrections) (eV per atom): -34.8676
SG: P4/mmm

=====

Computed, not measured: a crystal of SrCa2 relaxed with PBEsol at the meta-GGA SCAN level of DFT.

```
SrCa2
1.0
6.373 0.000 0.000
-3.187 5.519 0.000
0.000 0.000 3.827
Sr Ca
1 2
direct
0.000 0.000 0.000
0.333 0.667 0.500
0.667 0.333 0.500
```

Mass density (g/cm3): 2.07
Crystal system: hexagonal
Formation energy (eV per atom): 0.064
Total DFT energy (no corrections) (eV per atom): -13.8038
SG: P6/mmm

=====

Computed, not measured: a crystal of KInMo2 relaxed with PBEsol at the meta-GGA SCAN level of DFT.

```
KInMo2
1.0
3.022 0.000 0.000
0.000 4.559 0.000
0.000 0.000 7.287
K In Mo
1 1 2
direct
0.000 0.000 0.000
0.000 0.000 0.500
0.500 0.500 0.354
0.500 0.500 0.646
```

Mass density (g/cm3): 5.72
Crystal system: orthorhombic
Formation energy (eV per atom): 0.827
Total DFT energy (no corrections) (eV per atom): -27.0446
SG: Pmmm

=====

Computed, not measured: a crystal of LaZrPt2 relaxed with PBEsol at the meta-GGA SCAN level of DFT.

```
LaZrPt2
1.0
-1.775 2.176 5.354
1.775 -2.176 5.354
1.775 2.176 -5.354
La Zr Pt
1 1 2
direct
0.000 0.000 0.000
0.718 0.218 0.500
0.269 0.769 0.500
0.473 0.473 0.000
```

Mass density (g/cm3): 12.45
Crystal system: orthorhombic
Formation energy (eV per atom): -0.890
Total DFT energy (no corrections) (eV per atom): -54.4378
SG: Imm2

=====

Computed, not measured: a crystal of KSr relaxed with PBEsol at the meta-GGA SCAN level of DFT.

```
KSr
1.0
6.531 0.000 0.000
-3.266 5.656 0.000
0.000 0.000 7.371
K Sr
2 2
direct
0.000 0.000 0.000
0.000 0.000 0.500
0.333 0.667 0.250
0.667 0.333 0.750
```

Mass density (g/cm3): 1.55
Crystal system: hexagonal
Formation energy (eV per atom): 0.429
Total DFT energy (no corrections) (eV per atom): -14.8734
SG: P6_3/mmc

=====

Computed, not measured: a crystal of Na2VCSO7 relaxed with PBEsol at the meta-GGA SCAN level of DFT.

```
Na2VCSO7
1.0
5.234 0.000 0.000
0.000 6.602 0.000
-0.208 0.000 8.980
Na V C S O
4 2 2 2 14
direct
0.235 0.001 0.283
0.235 0.499 0.283
0.765 0.501 0.717
0.765 0.999 0.717
0.217 0.750 0.857
0.783 0.250 0.143
0.277 0.750 0.583
0.723 0.250 0.417
0.279 0.250 0.918
0.721 0.750 0.082
0.053 0.750 0.645
0.169 0.250 0.070
0.191 0.069 0.834
0.191 0.431 0.834
0.309 0.750 0.445
0.435 0.750 0.067
0.468 0.750 0.682
0.532 0.250 0.318
0.565 0.250 0.933
0.691 0.250 0.555
0.809 0.569 0.166
0.809 0.931 0.166
0.831 0.750 0.930
0.947 0.250 0.355
```

Formation energy from raw total energies (eV per atom): -1.919
Mass density (g/cm3): 2.71
Crystal system: monoclinic
Total DFT energy (no corrections) (eV per atom): -9.3573
SG: P2_1/m

=====

Computed, not measured: a crystal of Sr2YAg relaxed with PBEsol at the meta-GGA SCAN level of DFT.

```
Sr2YAg
1.0
4.400 0.000 0.000
0.000 5.333 0.000
0.000 0.000 5.497
Sr Y Ag
2 1 1
direct
0.000 0.000 0.000
0.500 0.000 0.500
0.000 0.500 0.500
0.500 0.500 0.000
```

Mass density (g/cm3): 4.79
Crystal system: orthorhombic
Formation energy (eV per atom): 0.188
Total DFT energy (no corrections) (eV per atom): -25.7524
SG: Pmmm

=====

Computed, not measured: a crystal of BaPtBr2 relaxed with PBEsol at the meta-GGA SCAN level of DFT.

```
BaPtBr2
1.0
2.407 1.389 5.163
-2.407 1.389 5.163
0.000 -2.779 5.163
Ba Pt Br
1 1 2
direct
0.000 0.000 0.000
0.500 0.500 0.500
0.230 0.230 0.230
0.770 0.770 0.770
```

Formation energy from raw total energies (eV per atom): -0.823
Mass density (g/cm3): 7.89
Crystal system: trigonal
Total DFT energy (no corrections) (eV per atom): -37.9890
SG: R-3m